# 1
! PBE-GGA Rb2LiMoCl6, optimized geometry; values from VASP
! - energy above the lowest structure with this stoichiometry (eV per atom) = 0.0128
! - formation energy from raw total energies (eV per atom) = -1.507
! - SG = Fm-3m, No. 225
! - VASP energy (eV for the cell shown) = -40.83
! - N(E_F) (states/eV/f.u.) = 0.0
&SYSTEM
  ibrav = 0, nat = 10, ntyp = 4
/
ATOMIC_SPECIES
Cl 35.45 Cl.upf
Rb 85.47 Rb.upf
Mo 95.94 Mo.upf
Li 6.94 Li.upf
CELL_PARAMETERS angstrom
0.0000 5.0844 5.0844
5.0844 0.0000 5.0844
5.0844 5.0844 0.0000
ATOMIC_POSITIONS crystal
Cl 0.7573 0.2427 0.2427
Cl 0.2427 0.2427 0.7573
Cl 0.2427 0.7573 0.2427
Cl 0.7573 0.2427 0.7573
Cl 0.2427 0.7573 0.7573
Cl 0.7573 0.7573 0.2427
Rb 0.7500 0.7500 0.7500
Rb 0.2500 0.2500 0.2500
Mo 0.0000 0.0000 0.0000
Li 0.5000 0.5000 0.5000

=====

# 2
! PBE-GGA SrLiMoCl2, optimized geometry; values from VASP
! - formation energy from raw total energies (eV per atom) = -0.163
! - SG = P4/mmm, No. 123
! - VASP energy (eV for the cell shown) = -18.94
! - N(E_F) (states/eV/f.u.) = 2.9
&SYSTEM
  ibrav = 0, nat = 5, ntyp = 4
/
ATOMIC_SPECIES
Li 6.94 Li.upf
Sr 87.62 Sr.upf
Cl 35.45 Cl.upf
Mo 95.94 Mo.upf
CELL_PARAMETERS angstrom
-2.6679 1.6445 -3.7305
2.6979 -2.7134 -3.1255
-3.0891 -3.7248 0.5672
ATOMIC_POSITIONS crystal
Li 0.0000 0.5000 0.0000
Sr 0.5000 0.5000 0.5000
Cl 0.0000 0.0000 0.5000
Cl 0.5000 0.0000 0.0000
Mo 0.0000 0.0000 0.0000

=====

# 3
! PBE-GGA LiTeMoCl2, optimized geometry; values from VASP
! - formation energy from raw total energies (eV per atom) = 0.083
! - SG = P4/mmm, No. 123
! - VASP energy (eV for the cell shown) = -19.17
! - N(E_F) (states/eV/f.u.) = 3.0
&SYSTEM
  ibrav = 0, nat = 5, ntyp = 4
/
ATOMIC_SPECIES
Cl 35.45 Cl.upf
Mo 95.94 Mo.upf
Te 127.60 Te.upf
Li 6.94 Li.upf
CELL_PARAMETERS angstrom
-0.7882 -2.0360 3.7059
-2.9266 -5.1983 -3.4783
3.8152 -1.9676 -0.2695
ATOMIC_POSITIONS crystal
Cl 0.0000 0.0000 0.5000
Cl 0.5000 0.0000 0.0000
Mo 0.0000 0.5000 0.0000
Te 0.5000 0.5000 0.5000
Li 0.0000 0.0000 0.0000

=====

# 4
! PBE-GGA LiTeMo2Cl, optimized geometry; values from VASP
! - formation energy from raw total energies (eV per atom) = 1.362
! - SG = P4/mmm, No. 123
! - VASP energy (eV for the cell shown) = -21.75
! - N(E_F) (states/eV/f.u.) = 7.9
&SYSTEM
  ibrav = 0, nat = 5, ntyp = 4
/
ATOMIC_SPECIES
Mo 95.94 Mo.upf
Cl 35.45 Cl.upf
Te 127.60 Te.upf
Li 6.94 Li.upf
CELL_PARAMETERS angstrom
-0.9672 -0.6665 4.4335
3.9862 -1.4724 0.6483
1.4181 4.2571 0.9494
ATOMIC_POSITIONS crystal
Mo 0.5000 0.0000 0.0000
Mo 0.0000 0.0000 0.5000
Cl 0.5000 0.5000 0.5000
Te 0.0000 0.5000 0.0000
Li 0.0000 0.0000 0.0000

=====

# 5
! PBE-GGA Li2TlMoCl8, optimized geometry; values from VASP
! - formation energy from raw total energies (eV per atom) = -1.111
! - SG = P-1, No. 2
! - VASP energy (eV for the cell shown) = -45.13
! - N(E_F) (states/eV/f.u.) = 5.3
&SYSTEM
  ibrav = 0, nat = 12, ntyp = 4
/
ATOMIC_SPECIES
Cl 35.45 Cl.upf
Mo 95.94 Mo.upf
Li 6.94 Li.upf
Tl 204.38 Tl.upf
CELL_PARAMETERS angstrom
-2.8292 -3.7490 4.2599
4.7224 -3.0648 2.3281
1.0183 6.2650 6.2192
ATOMIC_POSITIONS crystal
Cl 0.3271 0.3133 0.5001
Cl 0.6729 0.6867 0.4999
Cl 0.1850 0.7592 0.1906
Cl 0.8150 0.2408 0.8094
Cl 0.7314 0.7984 0.0008
Cl 0.1846 0.7593 0.8093
Cl 0.8154 0.2407 0.1907
Cl 0.2686 0.2016 0.9992
Mo 0.0000 0.0000 0.0000
Li 0.5003 0.5004 0.3289
Li 0.4997 0.4996 0.6711
Tl 0.0000 0.0000 0.5000

=====

# 6
! PBE-GGA LiTlMoCl6, optimized geometry; values from VASP
! - formation energy from raw total energies (eV per atom) = -1.110
! - SG = P312, No. 149
! - VASP energy (eV for the cell shown) = -36.18
! - N(E_F) (states/eV/f.u.) = 8.0
&SYSTEM
  ibrav = 0, nat = 9, ntyp = 4
/
ATOMIC_SPECIES
Li 6.94 Li.upf
Cl 35.45 Cl.upf
Tl 204.38 Tl.upf
Mo 95.94 Mo.upf
CELL_PARAMETERS angstrom
6.5460 0.0002 0.0001
3.2732 5.6688 0.0000
0.0002 -0.0003 6.9502
ATOMIC_POSITIONS crystal
Li 0.6666 0.6667 0.5000
Cl 0.0204 0.6174 0.6999
Cl 0.3622 0.6174 0.3001
Cl 0.3622 0.0204 0.6999
Cl 0.0204 0.3622 0.3001
Cl 0.6173 0.3622 0.6999
Cl 0.6174 0.0204 0.3001
Tl 0.0000 0.0000 0.0000
Mo 0.3333 0.3333 0.5000

=====

# 7
! PBE-GGA LiVMo2Cl, optimized geometry; values from VASP
! - energy above the lowest structure with this stoichiometry (eV per atom) = 0.0000
! - formation energy from raw total energies (eV per atom) = 0.956
! - SG = P4/mmm, No. 123
! - VASP energy (eV for the cell shown) = -29.76
! - N(E_F) (states/eV/f.u.) = 8.4
&SYSTEM
  ibrav = 0, nat = 5, ntyp = 4
/
ATOMIC_SPECIES
Mo 95.94 Mo.upf
V 50.94 V.upf
Cl 35.45 Cl.upf
Li 6.94 Li.upf
CELL_PARAMETERS angstrom
4.4395 0.0000 0.0000
0.0000 4.2623 0.0000
0.0000 0.0000 4.4395
ATOMIC_POSITIONS crystal
Mo 0.5000 0.0000 0.0000
Mo 0.0000 0.0000 0.5000
V 0.0000 0.5000 0.0000
Cl 0.0000 0.0000 0.0000
Li 0.5000 0.5000 0.5000

=====

# 8
! PBE-GGA LiVMo2Cl, optimized geometry; values from VASP
! - energy above the lowest structure with this stoichiometry (eV per atom) = 0.1939
! - formation energy from raw total energies (eV per atom) = 1.150
! - SG = P4/mmm, No. 123
! - VASP energy (eV for the cell shown) = -28.79
! - N(E_F) (states/eV/f.u.) = 6.2
&SYSTEM
  ibrav = 0, nat = 5, ntyp = 4
/
ATOMIC_SPECIES
V 50.94 V.upf
Li 6.94 Li.upf
Mo 95.94 Mo.upf
Cl 35.45 Cl.upf
CELL_PARAMETERS angstrom
4.5753 0.0000 0.0000
0.0000 5.0059 0.0000
0.0000 0.0000 4.5753
ATOMIC_POSITIONS crystal
V 0.0000 0.0000 0.0000
Li 0.5000 0.5000 0.5000
Mo 0.0000 0.0000 0.5000
Mo 0.5000 0.0000 0.0000
Cl 0.0000 0.5000 0.0000

=====

# 9
! PBE-GGA LiMoWCl2, optimized geometry; values from VASP
! - formation energy from raw total energies (eV per atom) = 0.848
! - SG = P4/mmm, No. 123
! - VASP energy (eV for the cell shown) = -25.15
! - N(E_F) (states/eV/f.u.) = 5.5
&SYSTEM
  ibrav = 0, nat = 5, ntyp = 4
/
ATOMIC_SPECIES
Cl 35.45 Cl.upf
W 183.84 W.upf
Li 6.94 Li.upf
Mo 95.94 Mo.upf
CELL_PARAMETERS angstrom
-1.6949 -2.8180 -3.6546
3.3802 -3.3491 1.0148
-3.1034 -2.1855 3.1245
ATOMIC_POSITIONS crystal
Cl 0.5000 0.0000 0.0000
Cl 0.0000 0.0000 0.5000
W 0.0000 0.5000 0.0000
Li 0.5000 0.5000 0.5000
Mo 0.0000 0.0000 0.0000

=====

# 10
! PBE-GGA Li2YMoCl, optimized geometry; values from VASP
! - formation energy from raw total energies (eV per atom) = 1.167
! - SG = P4/mmm, No. 123
! - VASP energy (eV for the cell shown) = -17.13
! - N(E_F) (states/eV/f.u.) = 2.4
&SYSTEM
  ibrav = 0, nat = 5, ntyp = 4
/
ATOMIC_SPECIES
Li 6.94 Li.upf
Y 88.91 Y.upf
Cl 35.45 Cl.upf
Mo 95.94 Mo.upf
CELL_PARAMETERS angstrom
-4.3120 2.6682 3.1816
-3.3253 -1.4149 -3.3204
-0.8880 -5.0732 3.0511
ATOMIC_POSITIONS crystal
Li 0.0000 0.0000 0.5000
Li 0.5000 0.0000 0.0000
Y 0.0000 0.0000 0.0000
Cl 0.5000 0.5000 0.5000
Mo 0.0000 0.5000 0.0000

=====

# 11
! PBE-GGA Li6NCl3, optimized geometry; values from VASP
! - formation energy from raw total energies (eV per atom) = -1.212
! - SG = Cm, No. 8
! - VASP energy (eV for the cell shown) = -37.46
&SYSTEM
  ibrav = 0, nat = 10, ntyp = 3
/
ATOMIC_SPECIES
Li 6.94 Li.upf
Cl 35.45 Cl.upf
N 14.01 N.upf
CELL_PARAMETERS angstrom
-2.0024 -2.8329 -1.3913
-1.4477 -2.5684 2.2975
-12.2681 5.4823 1.4517
ATOMIC_POSITIONS crystal
Li 0.5212 0.5212 0.3362
Li 0.6500 0.6500 0.9653
Li 0.0260 0.0260 0.8376
Li 0.3059 0.3059 0.9974
Li 0.9292 0.9292 0.1277
Li 0.7718 0.7718 0.5853
Cl 0.4645 0.4645 0.5076
Cl 0.7196 0.7196 0.7569
Cl 0.2152 0.2152 0.2538
N 0.9760 0.9760 0.9871

=====

# 12
! PBE-GGA Li7N2Cl, optimized geometry; values from VASP
! - energy above the lowest structure with this stoichiometry (eV per atom) = 0.0000
! - formation energy from raw total energies (eV per atom) = -0.659
! - SG = R-3m, No. 166
! - VASP energy (eV for the cell shown) = -38.48
&SYSTEM
  ibrav = 0, nat = 10, ntyp = 3
/
ATOMIC_SPECIES
N 14.01 N.upf
Li 6.94 Li.upf
Cl 35.45 Cl.upf
CELL_PARAMETERS angstrom
-0.3123 1.0537 3.4810
-3.1396 -0.5173 1.7888
2.2155 -9.2929 4.9257
ATOMIC_POSITIONS crystal
N 0.0615 0.0615 0.8154
N 0.9385 0.9385 0.1846
Li 0.2784 0.2784 0.1647
Li 0.1228 0.1228 0.6317
Li 0.7216 0.7216 0.8353
Li 0.0000 0.0000 0.0000
Li 0.4002 0.4002 0.7993
Li 0.5998 0.5998 0.2007
Li 0.8772 0.8772 0.3683
Cl 0.5000 0.5000 0.5000

=====

# 13
! PBE-GGA Li6NCl2, optimized geometry; values from VASP
! - energy above the lowest structure with this stoichiometry (eV per atom) = 0.0000
! - formation energy from raw total energies (eV per atom) = -0.834
! - SG = Immm, No. 71
! - VASP energy (eV for the cell shown) = -31.01
! - N(E_F) (states/eV/f.u.) = 1.5
&SYSTEM
  ibrav = 0, nat = 9, ntyp = 3
/
ATOMIC_SPECIES
Li 6.94 Li.upf
Cl 35.45 Cl.upf
N 14.01 N.upf
CELL_PARAMETERS angstrom
3.6889 0.0000 -0.1444
0.0000 5.5407 0.0000
-1.5907 -2.7703 6.5003
ATOMIC_POSITIONS crystal
Li 0.8734 0.6375 0.7466
Li 0.1266 0.3625 0.2534
Li 0.1266 0.8910 0.2534
Li 0.5000 0.7996 0.0000
Li 0.5000 0.2004 0.0000
Li 0.8734 0.1090 0.7466
Cl 0.7041 0.7037 0.4075
Cl 0.2959 0.2963 0.5925
N 0.0000 0.0000 0.0000

=====

# 14
! PBE-GGA Li5NCl2, optimized geometry; values from VASP
! - formation energy from raw total energies (eV per atom) = -1.069
! - SG = P2/m, No. 10
! - VASP energy (eV for the cell shown) = -60.28
! - N(E_F) (states/eV/f.u.) = 0.0
&SYSTEM
  ibrav = 0, nat = 16, ntyp = 3
/
ATOMIC_SPECIES
N 14.01 N.upf
Li 6.94 Li.upf
Cl 35.45 Cl.upf
CELL_PARAMETERS angstrom
-2.0817 0.3590 -2.9864
-4.1377 -4.8227 2.3045
-5.5482 5.8347 4.5688
ATOMIC_POSITIONS crystal
N 0.0000 0.6606 0.3325
N 0.0000 0.3394 0.6675
Li 0.0000 0.3714 0.4365
Li 0.5000 0.4757 0.7324
Li 0.0000 0.6286 0.5635
Li 0.5000 0.2201 0.6007
Li 0.0000 0.6746 0.1076
Li 0.0000 0.3254 0.8924
Li 0.0000 0.9583 0.2543
Li 0.5000 0.5243 0.2676
Li 0.5000 0.7799 0.3993
Li 0.0000 0.0417 0.7457
Cl 0.5000 0.1629 0.3408
Cl 0.5000 0.5000 0.0000
Cl 0.5000 0.8371 0.6592
Cl 0.0000 0.0000 0.0000

=====

# 15
! PBE-GGA LiNCl3, optimized geometry; values from VASP
! - energy above the lowest structure with this stoichiometry (eV per atom) = 0.0000
! - formation energy from raw total energies (eV per atom) = 0.289
! - SG = Pm-3m, No. 221
! - VASP energy (eV for the cell shown) = -14.34
! - N(E_F) (states/eV/f.u.) = 1.1
&SYSTEM
  ibrav = 0, nat = 5, ntyp = 3
/
ATOMIC_SPECIES
N 14.01 N.upf
Cl 35.45 Cl.upf
Li 6.94 Li.upf
CELL_PARAMETERS angstrom
-4.1065 -1.2526 1.2341
1.7373 -2.4052 3.3396
-0.2720 3.5499 2.6981
ATOMIC_POSITIONS crystal
N 0.0000 0.0000 0.0000
Cl 0.0000 0.5000 0.0000
Cl 0.5000 0.0000 0.0000
Cl 0.0000 0.0000 0.5000
Li 0.5000 0.5000 0.5000

=====

# 16
! PBE-GGA Li4NCl, optimized geometry; values from VASP
! - energy above the lowest structure with this stoichiometry (eV per atom) = 0.0901
! - formation energy from raw total energies (eV per atom) = -0.766
! - SG = Cmmm, No. 65
! - VASP energy (eV for the cell shown) = -22.43
&SYSTEM
  ibrav = 0, nat = 6, ntyp = 3
/
ATOMIC_SPECIES
Cl 35.45 Cl.upf
Li 6.94 Li.upf
N 14.01 N.upf
CELL_PARAMETERS angstrom
3.4252 0.0000 0.0000
0.0000 5.1248 0.0468
0.0000 -0.0536 5.1247
ATOMIC_POSITIONS crystal
Cl 0.5000 0.0000 0.0000
Li 0.5000 0.3480 0.6520
Li 0.0000 0.2372 0.2372
Li 0.0000 0.7628 0.7628
Li 0.5000 0.6520 0.3480
N 0.0000 0.5000 0.5000

=====

# 17
! PBE-GGA Li12N2Cl5, optimized geometry; values from VASP
! - formation energy from raw total energies (eV per atom) = -1.001
! - SG = C2/m, No. 12
! - VASP energy (eV for the cell shown) = -67.87
! - N(E_F) (states/eV/f.u.) = 0.6
&SYSTEM
  ibrav = 0, nat = 19, ntyp = 3
/
ATOMIC_SPECIES
Li 6.94 Li.upf
Cl 35.45 Cl.upf
N 14.01 N.upf
CELL_PARAMETERS angstrom
6.0572 0.1337 3.1851
1.6056 6.4780 4.0088
-0.2363 0.6124 7.7577
ATOMIC_POSITIONS crystal
Li 0.1802 0.9394 0.9394
Li 0.1830 0.2992 0.8790
Li 0.7565 0.4571 0.8656
Li 0.8565 0.4862 0.4862
Li 0.1435 0.5138 0.5138
Li 0.8198 0.0606 0.0606
Li 0.1830 0.8790 0.2992
Li 0.7565 0.8656 0.4571
Li 0.8170 0.1210 0.7008
Li 0.2435 0.1344 0.5429
Li 0.8170 0.7008 0.1210
Li 0.2435 0.5429 0.1344
Cl 0.4351 0.7445 0.7445
Cl 0.0440 0.2671 0.2671
Cl 0.5649 0.2555 0.2555
Cl 0.5000 0.0000 0.0000
Cl 0.9560 0.7329 0.7329
N 0.0000 0.2487 0.7513
N 0.0000 0.7513 0.2487

=====

# 18
! PBE-GGA Li6NCl2, optimized geometry; values from VASP
! - energy above the lowest structure with this stoichiometry (eV per atom) = 0.0026
! - formation energy from raw total energies (eV per atom) = -0.831
! - SG = P-1, No. 2
! - VASP energy (eV for the cell shown) = -30.98
! - N(E_F) (states/eV/f.u.) = 1.3
&SYSTEM
  ibrav = 0, nat = 9, ntyp = 3
/
ATOMIC_SPECIES
Li 6.94 Li.upf
Cl 35.45 Cl.upf
N 14.01 N.upf
CELL_PARAMETERS angstrom
0.1162 -3.7866 4.0536
1.0624 -4.7968 -4.4926
5.2884 -0.6833 6.9017
ATOMIC_POSITIONS crystal
Li 0.3499 0.1331 0.8625
Li 0.9477 0.1323 0.2657
Li 0.6505 0.2721 0.1379
Li 0.3495 0.7279 0.8621
Li 0.6501 0.8669 0.1375
Li 0.0523 0.8677 0.7343
Cl 0.5872 0.3303 0.6623
Cl 0.4128 0.6697 0.3377
N 0.0000 0.0000 0.0000

=====

# 19
! PBE-GGA Li2NCl, optimized geometry; values from VASP
! - energy above the lowest structure with this stoichiometry (eV per atom) = 0.0000
! - formation energy from raw total energies (eV per atom) = -0.183
! - SG = I-42d, No. 122
! - VASP energy (eV for the cell shown) = -29.46
! - N(E_F) (states/eV/f.u.) = 0.4
&SYSTEM
  ibrav = 0, nat = 8, ntyp = 3
/
ATOMIC_SPECIES
Cl 35.45 Cl.upf
Li 6.94 Li.upf
N 14.01 N.upf
CELL_PARAMETERS angstrom
7.5685 0.0000 0.0000
0.0000 7.5685 0.0000
3.7843 3.7843 2.2760
ATOMIC_POSITIONS crystal
Cl 0.0000 0.0000 0.0000
Cl 0.7500 0.2500 0.5000
Li 0.8750 0.6261 0.7500
Li 0.3739 0.6250 0.2500
Li 0.3761 0.1250 0.2500
Li 0.3750 0.6239 0.7500
N 0.2500 0.7500 0.5000
N 0.5000 0.5000 0.0000

=====

# 20
! PBE-GGA Li5NCl2, optimized geometry; values from VASP
! - formation energy from raw total energies (eV per atom) = -1.081
! - SG = Cmcm, No. 63
! - VASP energy (eV for the cell shown) = -60.47
! - N(E_F) (states/eV/f.u.) = 0.0
&SYSTEM
  ibrav = 0, nat = 16, ntyp = 3
/
ATOMIC_SPECIES
N 14.01 N.upf
Li 6.94 Li.upf
Cl 35.45 Cl.upf
CELL_PARAMETERS angstrom
-0.9804 -0.1308 -3.7861
3.2995 -5.3941 1.3542
-9.9236 -5.3783 2.7555
ATOMIC_POSITIONS crystal
N 0.1550 0.3100 0.2500
N 0.8450 0.6900 0.7500
Li 0.3348 0.6697 0.7500
Li 0.0496 0.0991 0.3715
Li 0.9504 0.9009 0.6285
Li 0.7381 0.4763 0.6246
Li 0.2619 0.5237 0.1246
Li 0.9504 0.9009 0.8715
Li 0.0496 0.0991 0.1285
Li 0.7381 0.4763 0.8754
Li 0.6652 0.3303 0.2500
Li 0.2619 0.5237 0.3754
Cl 0.8662 0.7324 0.4344
Cl 0.1338 0.2676 0.5656
Cl 0.8662 0.7324 0.0656
Cl 0.1338 0.2676 0.9344